(1)
## MnNb2OsN (PBE)

Data for a geometry-optimized MnNb2OsN structure.

Values from the calculation:
As for the magnetic moment: 0.000 μB/atom. For the formation energy without anion corrections, the calculation gives -0.36 eV per atom. The value obtained for the density of states at the Fermi level is 5.329 states/eV per cell. The value obtained for the uncorrected energy is -10.137 eV/atom. As for the space-group type: No. 123. The density comes out at 10.880 g cm⁻³.

The structure in POSCAR format:
```
MnNb2OsN
1.0
-0.391 -2.774 3.230
-0.365 -3.210 -2.801
3.686 -0.462 0.049
Nb Os Mn N
2 1 1 1
Direct
0.500 0.000 0.000 Nb
0.000 0.500 0.000 Nb
0.500 0.500 0.500 Os
0.000 0.000 0.500 Mn
0.000 0.000 0.000 N
```



(2)
## Sm4Ho3Sc4 (PBE)

Data for a geometry-optimized Sm4Ho3Sc4 structure.

Values from the calculation:
As for the magnetic moment: 0.000 μB/atom. The value obtained for the density of states at the Fermi level is 19.069 states/eV per cell. The value obtained for the uncorrected energy is -5.132 eV/atom. The value obtained for the formation energy is 0.14 eV/atom. As for the space-group type: No. 38. The density comes out at 6.418 g cm⁻³.

The structure in POSCAR format:
```
Sm4Ho3Sc4
1.0
-1.891 -5.052 -1.011
6.332 0.333 1.391
-2.118 -1.195 9.932
Sc Ho Sm
4 3 4
Direct
0.764 0.528 0.211 Sc
0.896 0.792 0.500 Sc
0.947 0.894 0.000 Sc
0.764 0.528 0.789 Sc
0.396 0.791 0.690 Ho
0.396 0.791 0.310 Ho
0.257 0.514 0.000 Ho
0.638 0.276 0.500 Sm
0.095 0.190 0.719 Sm
0.095 0.190 0.281 Sm
0.552 0.104 0.000 Sm
```



(3)
## Ir2AuBr (PBE)

Data for a geometry-optimized Ir2AuBr structure.

Values from the calculation:
As for the magnetic moment: 0.000 μB/atom. As for the offset from the most stable computed form: 0.336 eV per atom. For the formation energy without anion corrections, the calculation gives 0.79 eV per atom. The value obtained for the density of states at the Fermi level is 3.759 states/eV per cell. The value obtained for the uncorrected energy is -4.878 eV/atom. As for the space-group type: No. 166. The density comes out at 16.499 g cm⁻³.

The structure in POSCAR format:
```
Ir2AuBr
1.0
8.799 -0.026 -0.015
8.302 2.916 -0.015
8.302 1.403 2.557
Br Au Ir
1 1 2
Direct
0.750 0.750 0.750 Br
0.250 0.250 0.250 Au
0.498 0.498 0.498 Ir
0.002 0.002 0.002 Ir
```